DFT (PBE with a Hubbard U) results for a relaxed Cs2MnVF6 crystal.

POSCAR file:
```
Cs2MnVF6
1.0
6.1867 -0.0002 -0.0032
0.0000 6.1883 0.0030
3.0959 3.0921 4.3701
F V Cs Mn
6 1 2 1
Cartesian
3.0943 3.0932 2.1940 F
4.6446 4.6457 -0.0002 F
1.5420 1.5424 0.0000 F
4.6444 1.5425 -0.0015 F
4.6381 7.7377 4.3713 F
6.1882 6.1870 2.1759 F
0.0000 0.0000 0.0000 V
3.0946 6.1873 2.1861 Cs
6.1879 3.0930 2.1837 Cs
3.0933 3.0941 -0.0001 Mn
```

Computed properties:
Energy, eV per atom: -5.522